Record 1
# DySiRh | Alexandria | GGA-PBE | relaxed
data_DySiRh
_cell_length_a 4.1881
_cell_length_b 4.1881
_cell_length_c 3.7941
_cell_angle_alpha 90.00
_cell_angle_beta 90.00
_cell_angle_gamma 120.00
_space_group_name_H-M_alt 'P 1'
_space_group_IT_number 1
loop_
_space_group_symop_operation_xyz
'x,y,z'
loop_
_atom_site_label
_atom_site_fract_x
_atom_site_fract_y
_atom_site_fract_z
Dy1 0.0000 0.0000 0.0000
Si1 0.3333 0.6667 0.5000
Rh1 0.6667 0.3333 0.5000
# VASP energy ... -20.21 eV per cell
# Crystal system ... hexagonal
# Symmetry ... P-6m2

***

Record 2
# Sm2Si3Au9 | Alexandria | GGA-PBE | relaxed
data_Sm2Si3Au9
_cell_length_a 8.0259
_cell_length_b 8.0259
_cell_length_c 10.6773
_cell_angle_alpha 112.70
_cell_angle_beta 112.70
_cell_angle_gamma 60.03
_space_group_name_H-M_alt 'P 1'
_space_group_IT_number 1
loop_
_space_group_symop_operation_xyz
'x,y,z'
loop_
_atom_site_label
_atom_site_fract_x
_atom_site_fract_y
_atom_site_fract_z
Sm1 0.0843 0.2517 0.2460
Sm2 0.2517 0.0843 0.7460
Sm3 0.7483 0.9157 0.2540
Sm4 0.9157 0.7483 0.7540
Si1 0.0000 0.5000 0.0000
Si2 0.1396 0.6827 0.5054
Si3 0.3173 0.8604 0.9946
Si4 0.5000 0.0000 0.5000
Si5 0.6827 0.1396 0.0054
Si6 0.8604 0.3173 0.4946
Au1 0.0167 0.8644 0.0838
Au2 0.1356 0.9833 0.4162
Au3 0.1915 0.5800 0.2650
Au4 0.1926 0.3588 0.5737
Au5 0.2922 0.4865 0.9329
Au6 0.3515 0.6485 0.7500
Au7 0.3588 0.1926 0.0737
Au8 0.4200 0.8085 0.2350
Au9 0.4865 0.2922 0.4329
Au10 0.5135 0.7078 0.5671
Au11 0.5800 0.1915 0.7650
Au12 0.6412 0.8074 0.9263
Au13 0.6485 0.3515 0.2500
Au14 0.7078 0.5135 0.0671
Au15 0.8074 0.6412 0.4263
Au16 0.8085 0.4200 0.7350
Au17 0.8644 0.0167 0.5838
Au18 0.9833 0.1356 0.9162
# VASP energy ... -121.67 eV per cell
# Crystal system ... monoclinic
# Symmetry ... C2/c

***

Record 3
# Pr4OsPdCl2 | Alexandria | GGA-PBE | relaxed
data_Pr4OsPdCl2
_cell_length_a 7.1747
_cell_length_b 4.1782
_cell_length_c 7.9908
_cell_angle_alpha 90.00
_cell_angle_beta 107.17
_cell_angle_gamma 90.00
_space_group_name_H-M_alt 'P 1'
_space_group_IT_number 1
loop_
_space_group_symop_operation_xyz
'x,y,z'
loop_
_atom_site_label
_atom_site_fract_x
_atom_site_fract_y
_atom_site_fract_z
Pr1 0.2231 0.0000 0.2089
Pr2 0.2537 0.5000 0.7933
Pr3 0.7463 0.5000 0.2067
Pr4 0.7769 0.0000 0.7911
Os1 0.0000 0.5000 0.0000
Pd1 0.5000 0.0000 0.0000
Cl1 0.0000 0.0000 0.5000
Cl2 0.5000 0.5000 0.5000
# VASP energy ... -47.04 eV per cell
# Crystal system ... monoclinic
# Symmetry ... P2/m

***

Record 4
# NdGaNi6 | Alexandria | GGA-PBE | relaxed
data_NdGaNi6
_cell_length_a 3.8810
_cell_length_b 3.8810
_cell_length_c 7.8219
_cell_angle_alpha 90.00
_cell_angle_beta 90.00
_cell_angle_gamma 90.00
_space_group_name_H-M_alt 'P 1'
_space_group_IT_number 1
loop_
_space_group_symop_operation_xyz
'x,y,z'
loop_
_atom_site_label
_atom_site_fract_x
_atom_site_fract_y
_atom_site_fract_z
Nd1 0.0000 0.0000 0.0000
Ga1 0.0000 0.0000 0.5000
Ni1 0.0000 0.5000 0.3238
Ni2 0.0000 0.5000 0.6762
Ni3 0.5000 0.0000 0.3238
Ni4 0.5000 0.0000 0.6762
Ni5 0.5000 0.5000 0.1481
Ni6 0.5000 0.5000 0.8519
# DFT formation energy ... -0.08 eV per atom
# Crystal system ... tetragonal
# Symmetry ... P4/mmm

***

Record 5
# TlHgW2 | Alexandria | GGA-PBE | relaxed
data_TlHgW2
_cell_length_a 9.8133
_cell_length_b 9.8133
_cell_length_c 9.8133
_cell_angle_alpha 17.56
_cell_angle_beta 17.56
_cell_angle_gamma 17.56
_space_group_name_H-M_alt 'P 1'
_space_group_IT_number 1
loop_
_space_group_symop_operation_xyz
'x,y,z'
loop_
_atom_site_label
_atom_site_fract_x
_atom_site_fract_y
_atom_site_fract_z
Tl1 0.0000 0.0000 0.0000
Hg1 0.5000 0.5000 0.5000
W1 0.2490 0.2490 0.2490
W2 0.7510 0.7510 0.7510
# DFT formation energy ... 0.99 eV per atom
# Crystal system ... trigonal
# Energy above the lowest structure with this stoichiometry ... 1.59 eV per formula unit
# Symmetry ... R-3m

***

Record 6
# Mn3SnH | Alexandria | GGA-PBE | relaxed
data_Mn3SnH
_cell_length_a 8.5643
_cell_length_b 8.5643
_cell_length_c 3.7898
_cell_angle_alpha 90.13
_cell_angle_beta 90.13
_cell_angle_gamma 26.51
_space_group_name_H-M_alt 'P 1'
_space_group_IT_number 1
loop_
_space_group_symop_operation_xyz
'x,y,z'
loop_
_atom_site_label
_atom_site_fract_x
_atom_site_fract_y
_atom_site_fract_z
Mn1 0.0000 0.0000 0.0000
Mn2 0.1049 0.1049 0.5012
Mn3 0.2175 0.2175 0.0025
Mn4 0.5041 0.5041 0.5001
Mn5 0.5989 0.5989 0.0011
Mn6 0.8870 0.8870 0.4987
Sn1 0.3827 0.3827 0.9988
Sn2 0.7211 0.7211 0.5024
H1 0.1057 0.1057 0.0014
H2 0.9992 0.9992 0.5000
# VASP energy ... -69.18 eV per cell
# Crystal system ... monoclinic
# Symmetry ... Cm

***

Record 7
# Sr2TlHgPt | Alexandria | GGA-PBE | relaxed
data_Sr2TlHgPt
_cell_length_a 5.8250
_cell_length_b 5.8250
_cell_length_c 5.2769
_cell_angle_alpha 90.00
_cell_angle_beta 90.00
_cell_angle_gamma 90.00
_space_group_name_H-M_alt 'P 1'
_space_group_IT_number 1
loop_
_space_group_symop_operation_xyz
'x,y,z'
loop_
_atom_site_label
_atom_site_fract_x
_atom_site_fract_y
_atom_site_fract_z
Sr1 0.0000 0.5000 0.0000
Sr2 0.5000 0.0000 0.0000
Tl1 0.0000 0.0000 0.5000
Hg1 0.5000 0.5000 0.5000
Pt1 0.5000 0.5000 0.0000
# DFT formation energy ... -0.41 eV per atom
# Crystal system ... tetragonal
# Energy above the lowest structure with this stoichiometry ... 0.26 eV per formula unit
# Symmetry ... P4/mmm

***

Record 8
# TiCrAgS4 | Alexandria | GGA-PBE | relaxed
data_TiCrAgS4
_cell_length_a 6.9199
_cell_length_b 13.2867
_cell_length_c 5.9318
_cell_angle_alpha 90.00
_cell_angle_beta 90.00
_cell_angle_gamma 90.00
_space_group_name_H-M_alt 'P 1'
_space_group_IT_number 1
loop_
_space_group_symop_operation_xyz
'x,y,z'
loop_
_atom_site_label
_atom_site_fract_x
_atom_site_fract_y
_atom_site_fract_z
Ti1 0.0000 0.0000 0.0000
Ti2 0.0000 0.5000 0.0000
Ti3 0.5000 0.0000 0.0000
Ti4 0.5000 0.5000 0.0000
Cr1 0.2500 0.0010 0.5001
Cr2 0.2500 0.4990 0.5001
Cr3 0.7500 0.5010 0.4999
Cr4 0.7500 0.9990 0.4999
Ag1 0.2500 0.2500 0.1575
Ag2 0.2500 0.7500 0.4746
Ag3 0.7500 0.2500 0.5254
Ag4 0.7500 0.7500 0.8425
S1 0.0029 0.1048 0.3384
S2 0.0029 0.3952 0.3384
S3 0.2500 0.1045 0.8322
S4 0.2500 0.3955 0.8322
S5 0.2500 0.6046 0.1677
S6 0.2500 0.8954 0.1677
S7 0.4971 0.1048 0.3384
S8 0.4971 0.3952 0.3384
S9 0.5029 0.6048 0.6616
S10 0.5029 0.8952 0.6616
S11 0.7500 0.1046 0.8323
S12 0.7500 0.3954 0.8323
S13 0.7500 0.6045 0.1678
S14 0.7500 0.8955 0.1678
S15 0.9971 0.6048 0.6616
S16 0.9971 0.8952 0.6616
# Crystal system ... orthorhombic
# Energy above the lowest structure with this stoichiometry ... 0.27 eV per formula unit
# Symmetry ... Pmmn

***

Record 9
# HoZr3Os4 | Alexandria | GGA-PBE | relaxed
data_HoZr3Os4
_cell_length_a 4.6775
_cell_length_b 4.6775
_cell_length_c 6.6309
_cell_angle_alpha 90.00
_cell_angle_beta 90.00
_cell_angle_gamma 90.00
_space_group_name_H-M_alt 'P 1'
_space_group_IT_number 1
loop_
_space_group_symop_operation_xyz
'x,y,z'
loop_
_atom_site_label
_atom_site_fract_x
_atom_site_fract_y
_atom_site_fract_z
Ho1 0.0000 0.0000 0.0000
Zr1 0.0000 0.0000 0.5000
Zr2 0.5000 0.5000 0.0000
Zr3 0.5000 0.5000 0.5000
Os1 0.0000 0.5000 0.2566
Os2 0.0000 0.5000 0.7434
Os3 0.5000 0.0000 0.2566
Os4 0.5000 0.0000 0.7434
# DFT formation energy ... -0.43 eV per atom
# Crystal system ... tetragonal
# Symmetry ... P4/mmm

***

Record 10
# Li2BeCl | Alexandria | GGA-PBE | relaxed
data_Li2BeCl
_cell_length_a 5.8009
_cell_length_b 5.8009
_cell_length_c 5.8009
_cell_angle_alpha 109.61
_cell_angle_beta 109.61
_cell_angle_gamma 109.18
_space_group_name_H-M_alt 'P 1'
_space_group_IT_number 1
loop_
_space_group_symop_operation_xyz
'x,y,z'
loop_
_atom_site_label
_atom_site_fract_x
_atom_site_fract_y
_atom_site_fract_z
Li1 0.0848 0.6250 0.9598
Li2 0.3750 0.3348 0.4598
Li3 0.6652 0.1250 0.0402
Li4 0.8750 0.9152 0.5402
Be1 0.2500 0.7500 0.5000
Be2 0.5000 0.5000 0.0000
Cl1 0.0000 0.0000 0.0000
Cl2 0.7500 0.2500 0.5000
# Crystal system ... tetragonal
# Energy above the lowest structure with this stoichiometry ... 0.75 eV per formula unit
# Symmetry ... I-42d

***

Record 11
# RhIN3 | Alexandria | GGA-PBE | relaxed
data_RhIN3
_cell_length_a 3.9775
_cell_length_b 3.9775
_cell_length_c 3.9775
_cell_angle_alpha 90.00
_cell_angle_beta 90.00
_cell_angle_gamma 90.00
_space_group_name_H-M_alt 'P 1'
_space_group_IT_number 1
loop_
_space_group_symop_operation_xyz
'x,y,z'
loop_
_atom_site_label
_atom_site_fract_x
_atom_site_fract_y
_atom_site_fract_z
Rh1 0.0000 0.0000 0.0000
I1 0.5000 0.5000 0.5000
N1 0.0000 0.5000 0.5000
N2 0.5000 0.0000 0.5000
N3 0.5000 0.5000 0.0000
# VASP energy ... -20.78 eV per cell
# Crystal system ... cubic
# Symmetry ... Pm-3m